w:
DFT (PBE) results for a relaxed structure of Ni2Ir.

Unit cell a=2.657 b=4.897 c=6.098 alpha=74.91 beta=90.00 gamma=74.26
Atoms (fractional coordinates):
Ni: 0.942 0.116 0.387
Ir: 0.663 0.673 0.327
Ni: 0.280 0.440 0.059
Ni: 0.998 0.004 0.997
Ni: 0.336 0.329 0.669
Ir: 0.614 0.771 0.729

Calculated values
DOS at the Fermi energy: 5.46 states/eV/f.u.

x:
DFT (PBE) results for a relaxed structure of Ni2Ir.

Unit cell a=5.677 b=5.677 c=5.677 alpha=90.00 beta=90.00 gamma=90.00
Atoms (fractional coordinates):
Ni: 0.617 0.883 0.117
Ir: 0.000 0.500 0.500
Ni: 0.117 0.883 0.383
Ir: 0.000 0.000 0.000
Ir: 0.500 0.000 0.500
Ni: 0.883 0.383 0.117
Ni: 0.617 0.617 0.617
Ni: 0.117 0.617 0.883
Ni: 0.383 0.383 0.383
Ni: 0.383 0.117 0.883
Ir: 0.500 0.500 0.000
Ni: 0.883 0.117 0.617

Calculated values
DOS at the Fermi energy: 5.58 states/eV/f.u.

y:
DFT (PBE) results for a relaxed structure of Ni2Ir.

Unit cell a=11.535 b=11.535 c=11.535 alpha=167.02 beta=167.02 gamma=18.39
Atoms (fractional coordinates):
Ni: 0.170 0.670 0.500
Ni: 0.420 0.420 0.000
Ir: 0.750 0.250 0.500
Ni: 0.330 0.830 0.500
Ni: 0.580 0.580 0.000
Ir: 0.000 0.000 0.000

Calculated values
DOS at the Fermi energy: 5.08 states/eV/f.u.

Most stable: w. Least stable: x.

w:
DFT (PBE) results for a relaxed structure of Ni2Ir.

Unit cell a=4.088 b=4.088 c=2.558 alpha=90.00 beta=90.00 gamma=120.00
Atoms (fractional coordinates):
Ni: 0.667 0.333 0.502
Ni: 0.333 0.667 0.498
Ir: 0.000 0.000 0.000

Calculated values
DOS at the Fermi energy: 3.71 states/eV/f.u.

x:
DFT (PBE) results for a relaxed structure of Ni2Ir.

Unit cell a=4.248 b=4.248 c=2.591 alpha=90.00 beta=90.00 gamma=90.00
Atoms (fractional coordinates):
Ni: 0.500 0.000 0.500
Ni: 0.000 0.500 0.500
Ir: 0.000 0.000 0.000

Calculated values
DOS at the Fermi energy: 4.31 states/eV/f.u.

Most stable: w. Least stable: x.